The following is a DFT calculation (PBE) of a relaxed structure of ZrNi2As.

The structure in POSCAR format:
```
ZrNi2As
1.0
3.160 0.000 0.000
0.000 3.160 0.000
0.000 0.000 5.992
Zr Ni As
1 2 1
Direct
0.000 0.000 0.000
0.000 0.000 0.521
0.500 0.500 0.746
0.500 0.500 0.342
```

Summary:
- space-group type = P4mm
- energy (eV per formula unit) = -26.0



The following is a DFT calculation (PBE) of a relaxed structure of Cs2OsPt4.

The structure in POSCAR format:
```
Cs2OsPt4
1.0
-2.480 2.480 8.961
2.480 -2.480 8.961
2.480 2.480 -8.961
Cs Os Pt
2 1 4
Direct
0.156 0.156 0.000
0.844 0.844 0.000
0.500 0.500 0.000
0.000 0.500 0.500
0.365 0.365 0.000
0.500 0.000 0.500
0.635 0.635 0.000
```

Summary:
- space-group type = I4/mmm
- energy (eV per formula unit) = -31.8



The following is a DFT calculation (PBE) of a relaxed structure of LaReP2.

The structure in POSCAR format:
```
LaReP2
1.0
5.716 -1.995 0.000
5.716 1.995 0.000
-1.397 0.000 3.747
La Re P
1 1 2
Direct
0.000 0.000 0.000
0.750 0.750 0.250
0.358 0.358 0.356
0.643 0.643 0.643
```

Summary:
- space-group type = Cm
- energy (eV per formula unit) = -30.5



The following is a DFT calculation (PBE) of a relaxed structure of BeAgBBr2.

The structure in POSCAR format:
```
BeAgBBr2
1.0
4.947 0.000 0.000
0.000 4.947 0.000
0.000 0.000 4.358
Be Ag B Br
1 1 1 2
Direct
0.000 0.000 0.000
0.500 0.500 0.000
0.500 0.500 0.500
0.000 0.500 0.500
0.500 0.000 0.500
```

Summary:
- raw formation energy (eV/atom) = 1.1115
- space-group type = P4/mmm



The following is a DFT calculation (PBE) of a relaxed structure of Dy2HoCu.

The structure in POSCAR format:
```
Dy2HoCu
1.0
1.780 1.028 9.902
-1.780 1.028 9.902
0.000 -2.055 9.902
Dy Ho Cu
2 1 1
Direct
0.236 0.236 0.236
0.764 0.764 0.764
0.000 0.000 0.000
0.500 0.500 0.500
```

Summary:
- space-group type = R-3m
- energy (eV per formula unit) = -17.7



The following is a DFT calculation (PBE) of a relaxed structure of NaTiPtO6.

The structure in POSCAR format:
```
NaTiPtO6
1.0
5.211 0.000 0.000
-2.605 4.512 0.000
0.000 0.000 10.229
Na Ti Pt O
2 2 2 12
Direct
0.000 0.000 0.000
0.000 0.000 0.500
0.333 0.667 0.250
0.667 0.333 0.750
0.333 0.667 0.750
0.667 0.333 0.250
0.002 0.369 0.646
0.002 0.633 0.854
0.367 0.369 0.854
0.367 0.998 0.646
0.369 0.002 0.146
0.369 0.367 0.354
0.631 0.633 0.646
0.631 0.998 0.854
0.633 0.002 0.354
0.633 0.631 0.146
0.998 0.367 0.146
0.998 0.631 0.354
```

Summary:
- raw formation energy (eV/atom) = -1.2676
- space-group type = P-31c



The following is a DFT calculation (PBE) of a relaxed structure of Dy3ZnHg.

The structure in POSCAR format:
```
Dy3ZnHg
1.0
8.154 0.000 0.000
-4.077 7.062 0.000
0.000 0.000 4.794
Dy Zn Hg
6 2 2
Direct
0.192 0.383 0.250
0.192 0.808 0.250
0.383 0.192 0.750
0.617 0.808 0.250
0.808 0.192 0.750
0.808 0.617 0.750
0.000 0.000 0.000
0.000 0.000 0.500
0.333 0.667 0.750
0.667 0.333 0.250
```

Summary:
- space-group type = P6_3/mmc
- energy (eV per formula unit) = -16.1



The following is a DFT calculation (PBE) of a relaxed structure of TbUFe2.

The structure in POSCAR format:
```
TbUFe2
1.0
3.242 0.000 0.000
0.000 3.242 0.000
0.000 0.000 6.841
Tb U Fe
1 1 2
Direct
0.000 0.000 0.000
0.000 0.000 0.500
0.500 0.500 0.308
0.500 0.500 0.692
```

Summary:
- space-group type = P4/mmm
- energy (eV per formula unit) = -32.9



The following is a DFT calculation (PBE) of a relaxed structure of Dy3YHo2P6.

The structure in POSCAR format:
```
Dy3YHo2P6
1.0
3.466 -6.001 0.000
3.466 6.001 0.000
-2.308 0.000 6.536
Dy Y Ho P
3 1 2 6
Direct
0.000 0.000 0.000
0.333 0.667 0.000
0.667 0.333 0.000
0.500 0.500 0.500
0.167 0.833 0.500
0.833 0.167 0.500
0.083 0.417 0.251
0.249 0.249 0.749
0.417 0.083 0.251
0.583 0.917 0.749
0.751 0.751 0.251
0.917 0.583 0.749
```

Summary:
- space-group type = C2/m
- energy (eV per formula unit) = -81.3



The following is a DFT calculation (PBE) of a relaxed structure of AgMoRu2.

The structure in POSCAR format:
```
AgMoRu2
1.0
4.586 -1.390 0.000
4.586 1.390 0.000
-0.944 0.000 4.825
Ag Mo Ru
1 1 2
Direct
0.000 0.000 0.000
0.500 0.500 0.500
0.238 0.238 0.724
0.762 0.762 0.276
```

Summary:
- space-group type = C2/m
- energy (eV per formula unit) = -30.8



The following is a DFT calculation (PBE) of a relaxed structure of CsBa2NaIn.

The structure in POSCAR format:
```
CsBa2NaIn
1.0
6.912 0.000 0.000
0.000 6.912 0.000
0.000 0.000 6.471
Cs Ba Na In
1 2 1 1
Direct
0.000 0.000 0.000
0.000 0.500 0.500
0.500 0.000 0.500
0.500 0.500 0.000
0.500 0.500 0.500
```

Summary:
- space-group type = P4/mmm
- energy (eV per formula unit) = -8.7



The following is a DFT calculation (PBE) of a relaxed structure of Ag2SnS2Cl2.

The structure in POSCAR format:
```
Ag2SnS2Cl2
1.0
4.300 0.000 0.000
-0.019 7.162 0.000
-2.131 -2.805 6.272
Ag Sn S Cl
2 1 2 2
Direct
0.218 0.364 0.437
0.782 0.636 0.563
0.500 0.000 0.000
0.307 0.814 0.613
0.693 0.186 0.387
0.021 0.779 0.044
0.979 0.221 0.956
```

Summary:
- raw formation energy (eV/atom) = -0.3393
- space-group type = P-1



The following is a DFT calculation (PBE) of a relaxed structure of NaLiZn3.

The structure in POSCAR format:
```
NaLiZn3
1.0
4.729 0.000 0.000
0.000 4.729 0.000
0.000 0.000 4.729
Na Li Zn
1 1 3
Direct
0.000 0.000 0.000
0.500 0.500 0.500
0.000 0.500 0.500
0.500 0.000 0.500
0.500 0.500 0.000
```

Summary:
- space-group type = Pm-3m
- energy (eV per formula unit) = -5.9



The following is a DFT calculation (PBE) of a relaxed structure of TeIBrO2.

The structure in POSCAR format:
```
TeIBrO2
1.0
4.091 0.000 0.000
0.000 4.091 0.000
0.000 0.000 8.463
Te I Br O
1 1 1 2
Direct
0.000 0.000 0.000
0.500 0.500 0.500
0.500 0.500 0.000
0.000 0.500 0.500
0.500 0.000 0.500
```

Summary:
- raw formation energy (eV/atom) = 0.1573
- space-group type = P4/mmm



The following is a DFT calculation (PBE) of a relaxed structure of TaV2GeH.

The structure in POSCAR format:
```
TaV2GeH
1.0
3.892 0.000 0.000
0.000 3.892 0.000
0.000 0.000 4.049
Ta V Ge H
1 2 1 1
Direct
0.000 0.000 0.000
0.000 0.500 0.500
0.500 0.000 0.500
0.500 0.500 0.000
0.000 0.000 0.500
```

Summary:
- space-group type = P4/mmm
- energy (eV per formula unit) = -39.1



The following is a DFT calculation (PBE) of a relaxed structure of MgMo2Pb.

The structure in POSCAR format:
```
MgMo2Pb
1.0
1.662 -2.521 0.000
1.662 2.521 0.000
0.000 0.000 9.686
Mg Mo Pb
1 2 1
Direct
0.000 0.000 0.000
0.000 0.000 0.435
0.500 0.500 0.239
0.500 0.500 0.702
```

Summary:
- space-group type = Cmm2
- energy (eV per formula unit) = -25.4



The following is a DFT calculation (PBE) of a relaxed structure of PmSm4Co2.

The structure in POSCAR format:
```
PmSm4Co2
1.0
6.965 0.000 0.000
0.000 6.660 0.000
-3.481 0.000 8.205
Pm Sm Co
2 8 4
Direct
0.025 0.250 0.292
0.975 0.750 0.708
0.233 0.250 0.709
0.283 0.000 0.065
0.283 0.500 0.065
0.333 0.750 0.500
0.667 0.250 0.500
0.717 0.000 0.935
0.717 0.500 0.935
0.767 0.750 0.291
0.039 0.750 0.164
0.375 0.750 0.836
0.625 0.250 0.164
0.961 0.250 0.836
```

Summary:
- space-group type = P2_1/m
- energy (eV per formula unit) = -38.0



The following is a DFT calculation (PBE) of a relaxed structure of LiAgGePd.

The structure in POSCAR format:
```
LiAgGePd
1.0
0.000 3.119 3.119
3.119 0.000 3.119
3.119 3.119 0.000
Li Ag Ge Pd
1 1 1 1
Direct
0.000 0.000 0.000
0.250 0.250 0.250
0.500 0.500 0.500
0.750 0.750 0.750
```

Summary:
- space-group type = F-43m
- energy (eV per formula unit) = -15.9



The following is a DFT calculation (PBE) of a relaxed structure of Tl2Sn2I7.

The structure in POSCAR format:
```
Tl2Sn2I7
1.0
5.758 -6.311 0.000
5.758 6.311 0.000
-0.125 0.000 7.758
Tl Sn I
2 2 7
Direct
0.220 0.780 0.000
0.780 0.220 0.000
0.318 0.318 0.464
0.806 0.806 0.557
0.051 0.051 0.704
0.093 0.431 0.222
0.431 0.093 0.222
0.551 0.935 0.743
0.567 0.567 0.345
0.901 0.901 0.201
0.935 0.551 0.743
```

Summary:
- raw formation energy (eV/atom) = -0.4514
- space-group type = Cm



The following is a DFT calculation (PBE) of a relaxed structure of LaGdCoIr.

The structure in POSCAR format:
```
LaGdCoIr
1.0
0.000 3.497 3.497
3.497 0.000 3.497
3.497 3.497 0.000
La Gd Co Ir
1 1 1 1
Direct
0.000 0.000 0.000
0.500 0.500 0.500
0.250 0.250 0.250
0.750 0.750 0.750
```

Summary:
- space-group type = F-43m
- energy (eV per formula unit) = -36.4



The following is a DFT calculation (PBE) of a relaxed structure of PmSm4Cd.

The structure in POSCAR format:
```
PmSm4Cd
1.0
3.651 0.000 0.000
0.000 3.651 0.000
0.000 0.000 14.351
Pm Sm Cd
1 4 1
Direct
0.000 0.000 0.000
0.000 0.000 0.355
0.000 0.000 0.645
0.500 0.500 0.179
0.500 0.500 0.821
0.500 0.500 0.500
```

Summary:
- space-group type = P4/mmm
- energy (eV per formula unit) = -25.1



The following is a DFT calculation (PBE) of a relaxed structure of GaSiRhN2.

The structure in POSCAR format:
```
GaSiRhN2
1.0
3.404 0.000 0.000
0.000 3.404 0.000
0.000 0.000 7.976
Ga Si Rh N
1 1 1 2
Direct
0.000 0.000 0.000
0.000 0.000 0.500
0.500 0.500 0.000
0.000 0.500 0.500
0.500 0.000 0.500
```

Summary:
- raw formation energy (eV/atom) = 0.5754
- space-group type = P4/mmm



The following is a DFT calculation (PBE) of a relaxed structure of PuNpPa2N5.

The structure in POSCAR format:
```
PuNpPa2N5
1.0
6.687 0.000 0.000
0.000 6.687 0.000
0.000 0.000 6.118
Pu Np Pa N
2 2 4 10
Direct
0.000 0.000 0.000
0.500 0.500 0.000
0.000 0.500 0.000
0.500 0.000 0.000
0.173 0.327 0.500
0.327 0.827 0.500
0.673 0.173 0.500
0.827 0.673 0.500
0.000 0.000 0.500
0.152 0.652 0.253
0.152 0.652 0.747
0.348 0.152 0.253
0.348 0.152 0.747
0.500 0.500 0.500
0.652 0.848 0.253
0.652 0.848 0.747
0.848 0.348 0.253
0.848 0.348 0.747
```

Summary:
- raw formation energy (eV/atom) = -0.9954
- space-group type = P4/mbm



The following is a DFT calculation (PBE) of a relaxed structure of Cr2InRh2.

The structure in POSCAR format:
```
Cr2InRh2
1.0
7.270 0.000 0.000
0.000 7.270 0.000
0.000 0.000 2.817
Cr In Rh
4 2 4
Direct
0.099 0.401 0.000
0.401 0.901 0.000
0.599 0.099 0.000
0.901 0.599 0.000
0.000 0.000 0.000
0.500 0.500 0.000
0.186 0.686 0.500
0.314 0.186 0.500
0.686 0.814 0.500
0.814 0.314 0.500
```

Summary:
- space-group type = P4/mbm
- energy (eV per formula unit) = -36.3